Entry 1:
{
  "formula": "CePr3Te6",
  "functional": "PBE",
  "state": "optimized geometry",
  "lattice": [[-2.353, 2.600, 2.833], [-2.261, -10.186, 7.469], [11.178, 5.842, 3.922]],
  "species": ["Te", "Te", "Te", "Te", "Te", "Te", "Te", "Te", "Te", "Te", "Te", "Te", "Pr", "Pr", "Pr", "Pr", "Pr", "Pr", "Ce", "Ce"],
  "frac_coords": [[0.250, 0.513, 0.381], [0.250, 0.605, 0.937], [0.750, 0.395, 0.063], [0.750, 0.112, 0.466], [0.250, 0.888, 0.534], [0.250, 0.248, 0.720], [0.750, 0.811, 0.749], [0.750, 0.752, 0.280], [0.750, 0.487, 0.619], [0.250, 0.189, 0.251], [0.750, 0.915, 0.103], [0.250, 0.085, 0.897], [0.250, 0.571, 0.168], [0.750, 0.682, 0.502], [0.750, 0.429, 0.832], [0.750, 0.155, 0.080], [0.250, 0.318, 0.498], [0.250, 0.845, 0.920], [0.750, 0.044, 0.692], [0.250, 0.956, 0.308]],
  "formation_energy_uncorrected_ev_per_atom": -1.405,
  "e_above_lowest_polymorph_mev_per_atom": 0.0,
  "magnetic_moment_mub_per_atom": 0.0972,
  "density_g_cm3": 6.11,
  "space_group": "P2_1/m",
  "dos_ef_per_ev_fu": 7.40
}


Entry 2:
{
  "formula": "Pm3ZnFe",
  "functional": "PBE",
  "state": "optimized geometry",
  "lattice": [[-0.842, -5.064, -0.832], [3.525, -1.184, 3.636], [-3.729, 0.025, 3.624]],
  "species": ["Pm", "Pm", "Pm", "Fe", "Zn"],
  "frac_coords": [[0.000, 0.000, 0.500], [0.500, 0.000, 0.000], [0.000, 0.500, 0.000], [0.000, 0.000, 0.000], [0.500, 0.500, 0.500]],
  "magnetic_moment_mub_per_atom": 0.0073,
  "density_g_cm3": 6.57,
  "space_group": "Pm-3m",
  "formation_enthalpy_0k_mev_per_atom": 148.4,
  "dos_ef_per_ev_fu": 6.58
}


Entry 3:
{
  "formula": "CeEr2PaS4",
  "functional": "PBE",
  "state": "optimized geometry",
  "lattice": [[3.860, 0.000, 0.000], [0.000, 6.891, -0.212], [0.000, 2.351, 6.274]],
  "species": ["Ce", "S", "S", "S", "S", "Er", "Er", "Pa"],
  "frac_coords": [[0.500, 0.500, 0.000], [0.500, 0.760, 0.250], [0.000, 0.237, 0.258], [0.000, 0.763, 0.742], [0.500, 0.240, 0.750], [0.500, 0.000, 0.500], [0.000, 0.000, 0.000], [0.000, 0.500, 0.500]],
  "formation_energy_uncorrected_ev_per_atom": -1.878,
  "magnetic_moment_mub_per_atom": 0.1067,
  "density_g_cm3": 8.20,
  "space_group": "P2/m",
  "dos_ef_per_ev_fu": 8.86
}


Entry 4:
{
  "formula": "BaYSeBr2",
  "functional": "PBE",
  "state": "optimized geometry",
  "lattice": [[5.945, 0.000, 0.000], [0.000, 5.945, 0.000], [0.000, 0.000, 6.327]],
  "species": ["Br", "Br", "Y", "Ba", "Se"],
  "frac_coords": [[0.000, 0.500, 0.000], [0.500, 0.000, 0.000], [0.500, 0.500, 0.500], [0.000, 0.000, 0.000], [0.000, 0.000, 0.500]],
  "formation_energy_uncorrected_ev_per_atom": -0.738,
  "e_above_lowest_polymorph_mev_per_atom": 875.0,
  "magnetic_moment_mub_per_atom": 0.1884,
  "density_g_cm3": 3.45,
  "space_group": "P4/mmm",
  "dos_ef_per_ev_fu": 3.19
}